# AcH2RuO6 (PBE, relaxed)
# **Space-group type**: P1 (1)
# **Final energy**: -6.44 eV/atom
# **V**: 118.2 Å³/f.u.
data_AcH2RuO6
_chemical_formula_sum 'Ac1 H2 Ru1 O6'
_cell_length_a 4.757
_cell_length_b 5.117
_cell_length_c 5.616
_cell_angle_alpha 98.18
_cell_angle_beta 112.11
_cell_angle_gamma 104.58
_symmetry_space_group_name_H-M 'P 1'
_symmetry_Int_Tables_number 1
_symmetry_space_group_name_Hall 'P 1'
loop_
_atom_site_label
_atom_site_type_symbol
_atom_site_fract_x
_atom_site_fract_y
_atom_site_fract_z
_atom_site_occupancy
Ac1 Ac 0.000 0.000 0.000 1
H1 H 0.573 0.745 0.391 1
H2 H 0.617 0.336 0.679 1
Ru1 Ru 0.038 0.528 0.503 1
O1 O 0.195 0.671 0.280 1
O2 O 0.236 0.266 0.524 1
O3 O 0.351 0.794 0.815 1
O4 O 0.648 0.295 0.253 1
O5 O 0.812 0.827 0.502 1
O6 O 0.857 0.409 0.783 1